[1]
The following is a DFT calculation (PBE-GGA) of an optimized crystal structure of ScTiTcNi.

Values from the calculation:
ΔE_f in eV/atom: -0.410
D(E_F) in states/eV/atom: 0.609
Theoretical density in g/cm³: 6.78

Unit cell a=4.421 b=4.421 c=4.421 alpha=60.00 beta=60.00 gamma=60.00
Positions (direct):
Sc 0.750 0.750 0.750
Ni 0.500 0.500 0.500
Tc 0.000 0.000 0.000
Ti 0.250 0.250 0.250

***

[2]
The following is a DFT calculation (PBE-GGA) of an optimized crystal structure of ScTlTcNi2.

Values from the calculation:
ΔE_f in eV/atom: 1.113
D(E_F) in states/eV/atom: 0.306
Theoretical density in g/cm³: 8.08

Unit cell a=4.487 b=4.747 c=4.487 alpha=90.00 beta=90.00 gamma=90.00
Positions (direct):
Sc 0.000 0.000 0.000
Ni 0.000 0.000 0.500
Ni 0.500 0.000 0.000
Tl 0.500 0.500 0.500
Tc 0.000 0.500 0.000

***

[3]
The following is a DFT calculation (PBE-GGA) of an optimized crystal structure of TmScTcNi.

Values from the calculation:
ΔE_f in eV/atom: -0.250
D(E_F) in states/eV/atom: 0.775
Theoretical density in g/cm³: 8.74

Unit cell a=4.635 b=4.635 c=4.635 alpha=60.00 beta=60.00 gamma=60.00
Positions (direct):
Sc 0.250 0.250 0.250
Ni 0.500 0.500 0.500
Tm 0.750 0.750 0.750
Tc 0.000 0.000 0.000

***

[4]
The following is a DFT calculation (PBE-GGA) of an optimized crystal structure of ScVTcNi.

Values from the calculation:
ΔE_f in eV/atom: -0.222
D(E_F) in states/eV/atom: 0.912
Theoretical density in g/cm³: 7.19

Unit cell a=4.353 b=4.353 c=4.353 alpha=60.00 beta=60.00 gamma=60.00
Positions (direct):
Sc 0.500 0.500 0.500
Ni 0.250 0.250 0.250
Tc 0.750 0.750 0.750
V 0.000 0.000 0.000

***

[5]
The following is a DFT calculation (PBE-GGA) of an optimized crystal structure of ScTcNiW.

Values from the calculation:
ΔE_f in eV/atom: -0.117
D(E_F) in states/eV/atom: 1.014
Theoretical density in g/cm³: 10.47

Unit cell a=4.421 b=4.421 c=4.421 alpha=60.00 beta=60.00 gamma=60.00
Positions (direct):
Sc 0.750 0.750 0.750
Ni 0.000 0.000 0.000
Tc 0.500 0.500 0.500
W 0.250 0.250 0.250

***

[6]
The following is a DFT calculation (PBE-GGA) of an optimized crystal structure of YScTcNi.

Values from the calculation:
ΔE_f in eV/atom: -0.172
D(E_F) in states/eV/atom: 0.820
Theoretical density in g/cm³: 6.65

Unit cell a=4.681 b=4.681 c=4.681 alpha=60.00 beta=60.00 gamma=60.00
Positions (direct):
Y 0.750 0.750 0.750
Ni 0.000 0.000 0.000
Sc 0.250 0.250 0.250
Tc 0.500 0.500 0.500

***

[7]
The following is a DFT calculation (PBE-GGA) of an optimized crystal structure of ZrScTcNi.

Values from the calculation:
ΔE_f in eV/atom: -0.391
D(E_F) in states/eV/atom: 0.630
Excess energy over the best structure of this formula in the dataset in meV per atom: 20
Theoretical density in g/cm³: 7.20

Unit cell a=4.572 b=4.572 c=4.572 alpha=60.00 beta=60.00 gamma=60.00
Positions (direct):
Sc 0.500 0.500 0.500
Ni 0.250 0.250 0.250
Tc 0.750 0.750 0.750
Zr 0.000 0.000 0.000

***

[8]
The following is a DFT calculation (PBE-GGA) of an optimized crystal structure of ZrScTcNi.

Values from the calculation:
ΔE_f in eV/atom: -0.411
D(E_F) in states/eV/atom: 0.329
Excess energy over the best structure of this formula in the dataset in meV per atom: 0
Theoretical density in g/cm³: 7.14

Unit cell a=3.275 b=3.275 c=6.353 alpha=90.00 beta=90.00 gamma=90.00
Positions (direct):
Zr 0.000 0.000 0.353
Sc 0.000 0.000 0.859
Tc 0.500 0.500 0.112
Ni 0.500 0.500 0.604

***

[9]
The following is a DFT calculation (PBE-GGA) of an optimized crystal structure of ScNiTe2.

Values from the calculation:
D(E_F) in states/eV/atom: 0.839
Excess energy over the best structure of this formula in the dataset in meV per atom: 69
Theoretical density in g/cm³: 6.14
Uncorrected formation energy in meV/atom: -604

Unit cell a=3.756 b=3.756 c=6.875 alpha=90.00 beta=90.00 gamma=90.00
Positions (direct):
Ni 0.000 0.000 0.506
Sc 0.500 0.500 0.748
Te 0.000 0.000 0.893
Te 0.500 0.500 0.353

***

[10]
The following is a DFT calculation (PBE-GGA) of an optimized crystal structure of Sc2NiTe.

Values from the calculation:
D(E_F) in states/eV/atom: 1.145
Theoretical density in g/cm³: 4.48
Uncorrected formation energy in meV/atom: -262

Unit cell a=8.611 b=8.611 c=8.611 alpha=25.27 beta=25.27 gamma=25.27
Positions (direct):
Sc 0.887 0.887 0.887
Sc 0.113 0.113 0.113
Ni 0.500 0.500 0.500
Te 0.000 0.000 0.000

***

[11]
The following is a DFT calculation (PBE-GGA) of an optimized crystal structure of ScNiTe2.

Values from the calculation:
D(E_F) in states/eV/atom: 0.807
Excess energy over the best structure of this formula in the dataset in meV per atom: 0
Theoretical density in g/cm³: 6.58
Uncorrected formation energy in meV/atom: -673

Unit cell a=3.687 b=3.782 c=6.762 alpha=73.74 beta=90.00 gamma=90.00
Positions (direct):
Ni 0.000 0.755 0.365
Sc 0.500 0.559 0.757
Te 0.000 0.957 0.961
Te 0.500 0.229 0.417

***

[12]
The following is a DFT calculation (PBE-GGA) of an optimized crystal structure of ScNi2Te2.

Values from the calculation:
D(E_F) in states/eV/atom: 0.932
Excess energy over the best structure of this formula in the dataset in meV per atom: 192
Theoretical density in g/cm³: 7.28
Uncorrected formation energy in meV/atom: -175

Unit cell a=7.448 b=7.448 c=3.434 alpha=90.00 beta=90.00 gamma=90.00
Positions (direct):
Sc 0.000 0.000 0.000
Sc 0.500 0.500 0.000
Ni 0.129 0.629 0.500
Ni 0.629 0.871 0.500
Ni 0.871 0.371 0.500
Ni 0.371 0.129 0.500
Te 0.338 0.838 0.000
Te 0.838 0.662 0.000
Te 0.662 0.162 0.000
Te 0.162 0.338 0.000

***

[13]
The following is a DFT calculation (PBE-GGA) of an optimized crystal structure of Sc6Ni2Te.

Values from the calculation:
D(E_F) in states/eV/atom: 0.991
Theoretical density in g/cm³: 4.53
Uncorrected formation energy in meV/atom: -447

Unit cell a=7.902 b=7.902 c=7.902 alpha=104.92 beta=110.15 gamma=113.46
Positions (direct):
Sc 0.481 0.298 0.183
Sc 0.519 0.702 0.817
Sc 0.885 0.702 0.183
Sc 0.115 0.298 0.817
Sc 0.212 0.772 0.984
Sc 0.788 0.228 0.016
Sc 0.788 0.772 0.560
Sc 0.212 0.228 0.440
Sc 0.308 0.982 0.674
Sc 0.692 0.018 0.326
Sc 0.692 0.366 0.674
Sc 0.308 0.634 0.326
Ni 0.500 0.372 0.872
Ni 0.500 0.628 0.128
Ni 0.354 0.000 0.354
Ni 0.646 0.000 0.646
Te 0.000 0.500 0.500
Te 0.000 0.000 0.000

***

[14]
The following is a DFT calculation (PBE-GGA) of an optimized crystal structure of Sc2NiTe.

Values from the calculation:
D(E_F) in states/eV/atom: 1.540
Theoretical density in g/cm³: 5.83
Uncorrected formation energy in meV/atom: -39

Unit cell a=4.810 b=4.810 c=4.810 alpha=60.00 beta=60.00 gamma=60.00
Positions (direct):
Ni 0.500 0.500 0.500
Sc 0.000 0.000 0.000
Sc 0.250 0.250 0.250
Te 0.750 0.750 0.750